The following is a PBE calculation of a relaxed Pm3Al2GePd9 crystal, from Alexandria.

Results
- Calculated formation energy: -0.635 eV per atom
- E: -5.5075 eV/atom
- Volume: 21.1 A^3/atom

Geometry as CIF:
```
data_Pm3Al2GePd9
_chemical_formula_sum 'Pm3 Al2 Ge1 Pd9'
_space_group_name_H-M_alt 'P 1'
_space_group_IT_number 1
_space_group_name_Hall 'P 1'
_cell_length_a 5.749
_cell_length_b 5.749
_cell_length_c 11.038
_cell_angle_alpha 90.00
_cell_angle_beta 90.00
_cell_angle_gamma 120.00
loop_
_atom_site_label
_atom_site_type_symbol
_atom_site_fract_x
_atom_site_fract_y
_atom_site_fract_z
Pm1 Pm 0.333 0.667 0.740
Pm2 Pm 0.000 0.000 0.000
Pm3 Pm 0.667 0.333 0.260
Al1 Al 0.333 0.667 0.170
Al2 Al 0.667 0.333 0.830
Ge1 Ge 0.000 0.000 0.500
Pd1 Pd 0.831 0.169 0.661
Pd2 Pd 0.831 0.662 0.661
Pd3 Pd 0.338 0.169 0.661
Pd4 Pd 0.662 0.831 0.339
Pd5 Pd 0.169 0.338 0.339
Pd6 Pd 0.169 0.831 0.339
Pd7 Pd 0.500 0.000 0.000
Pd8 Pd 0.000 0.500 0.000
Pd9 Pd 0.500 0.500 0.000
```



The following is a PBE calculation of a relaxed KLi2In crystal, from Alexandria.

Results
- Calculated formation energy: 0.107 eV per atom
- E: -1.8084 eV/atom
- Volume: 34.0 A^3/atom

Geometry as CIF:
```
data_KLi2In
_chemical_formula_sum 'K2 Li4 In2'
_space_group_name_H-M_alt 'P 1'
_space_group_IT_number 1
_space_group_name_Hall 'P 1'
_cell_length_a 5.168
_cell_length_b 5.168
_cell_length_c 10.825
_cell_angle_alpha 76.19
_cell_angle_beta 76.19
_cell_angle_gamma 90.00
loop_
_atom_site_label
_atom_site_type_symbol
_atom_site_fract_x
_atom_site_fract_y
_atom_site_fract_z
K1 K 0.500 0.500 0.000
K2 K 0.250 0.750 0.500
Li1 Li 0.782 0.125 0.250
Li2 Li 0.968 0.625 0.250
Li3 Li 0.375 0.218 0.750
Li4 Li 0.875 0.032 0.750
In1 In 0.000 0.000 0.000
In2 In 0.750 0.250 0.500
```



The following is a PBE calculation of a relaxed ZnInNO2 crystal, from Alexandria.

Results
- Raw formation energy: 0.251 eV per atom
- E: -4.2003 eV/atom
- Volume: 12.0 A^3/atom

Geometry as CIF:
```
data_ZnInNO2
_chemical_formula_sum 'Zn1 In1 N1 O2'
_space_group_name_H-M_alt 'P 1'
_space_group_IT_number 1
_space_group_name_Hall 'P 1'
_cell_length_a 3.957
_cell_length_b 3.957
_cell_length_c 3.841
_cell_angle_alpha 90.00
_cell_angle_beta 90.00
_cell_angle_gamma 90.00
loop_
_atom_site_label
_atom_site_type_symbol
_atom_site_fract_x
_atom_site_fract_y
_atom_site_fract_z
Zn1 Zn 0.000 0.000 0.000
N1 N 0.000 0.000 0.500
O1 O 0.000 0.500 0.000
O2 O 0.500 0.000 0.000
In1 In 0.500 0.500 0.500
```



The following is a PBE calculation of a relaxed Y2AgRh crystal, from Alexandria.

Results
- Calculated formation energy: 0.335 eV per atom
- E: -5.4478 eV/atom
- Volume: 23.9 A^3/atom

Geometry as CIF:
```
data_Y2AgRh
_chemical_formula_sum 'Y2 Ag1 Rh1'
_space_group_name_H-M_alt 'P 1'
_space_group_IT_number 1
_space_group_name_Hall 'P 1'
_cell_length_a 6.316
_cell_length_b 6.316
_cell_length_c 6.316
_cell_angle_alpha 59.92
_cell_angle_beta 150.52
_cell_angle_gamma 129.10
loop_
_atom_site_label
_atom_site_type_symbol
_atom_site_fract_x
_atom_site_fract_y
_atom_site_fract_z
Y1 Y 0.000 0.233 0.233
Y2 Y 0.000 0.767 0.767
Ag1 Ag 0.000 0.500 0.500
Rh1 Rh 0.000 0.000 0.000
```



The following is a PBE calculation of a relaxed Ti2HgMo crystal, from Alexandria.

Results
- Calculated formation energy: 0.603 eV per atom
- E: -6.1276 eV/atom
- Volume: 18.8 A^3/atom

Geometry as CIF:
```
data_Ti2HgMo
_chemical_formula_sum 'Ti4 Hg2 Mo2'
_space_group_name_H-M_alt 'P 1'
_space_group_IT_number 1
_space_group_name_Hall 'P 1'
_cell_length_a 3.984
_cell_length_b 3.984
_cell_length_c 9.868
_cell_angle_alpha 78.35
_cell_angle_beta 78.35
_cell_angle_gamma 90.00
loop_
_atom_site_label
_atom_site_type_symbol
_atom_site_fract_x
_atom_site_fract_y
_atom_site_fract_z
Mo1 Mo 0.500 0.500 0.000
Mo2 Mo 0.250 0.750 0.500
Hg1 Hg 0.000 0.000 0.000
Hg2 Hg 0.750 0.250 0.500
Ti1 Ti 0.608 0.125 0.250
Ti2 Ti 0.142 0.625 0.250
Ti3 Ti 0.375 0.392 0.750
Ti4 Ti 0.875 0.858 0.750
```



The following is a PBE calculation of a relaxed HoEr2In3S6 crystal, from Alexandria.

Results
- Raw formation energy: -1.406 eV per atom
- E: -5.2958 eV/atom
- Volume: 25.5 A^3/atom

Geometry as CIF:
```
data_HoEr2In3S6
_chemical_formula_sum 'Ho1 Er2 In3 S6'
_space_group_name_H-M_alt 'P 1'
_space_group_IT_number 1
_space_group_name_Hall 'P 1'
_cell_length_a 6.864
_cell_length_b 6.864
_cell_length_c 7.856
_cell_angle_alpha 98.38
_cell_angle_beta 98.38
_cell_angle_gamma 120.00
loop_
_atom_site_label
_atom_site_type_symbol
_atom_site_fract_x
_atom_site_fract_y
_atom_site_fract_z
Ho1 Ho 0.000 0.000 0.000
Er1 Er 0.333 0.667 0.000
Er2 Er 0.667 0.333 0.000
In1 In 0.167 0.833 0.500
In2 In 0.833 0.167 0.500
In3 In 0.500 0.500 0.500
S1 S 0.933 0.599 0.800
S2 S 0.732 0.732 0.199
S3 S 0.067 0.401 0.200
S4 S 0.599 0.933 0.800
S5 S 0.268 0.268 0.801
S6 S 0.401 0.067 0.200
```



The following is a PBE calculation of a relaxed NbCuSi2 crystal, from Alexandria.

Results
- Raw formation energy: 0.117 eV per atom
- E: -6.1363 eV/atom
- Volume: 15.3 A^3/atom

Geometry as CIF:
```
data_NbCuSi2
_chemical_formula_sum 'Nb2 Cu2 Si4'
_space_group_name_H-M_alt 'P 1'
_space_group_IT_number 1
_space_group_name_Hall 'P 1'
_cell_length_a 6.633
_cell_length_b 6.633
_cell_length_c 5.453
_cell_angle_alpha 52.54
_cell_angle_beta 52.54
_cell_angle_gamma 90.00
loop_
_atom_site_label
_atom_site_type_symbol
_atom_site_fract_x
_atom_site_fract_y
_atom_site_fract_z
Nb1 Nb 0.000 0.000 0.000
Nb2 Nb 0.750 0.250 0.500
Si1 Si 0.586 0.125 0.250
Si2 Si 0.164 0.625 0.250
Si3 Si 0.375 0.414 0.750
Si4 Si 0.875 0.836 0.750
Cu1 Cu 0.500 0.500 0.000
Cu2 Cu 0.250 0.750 0.500
```



The following is a PBE calculation of a relaxed Pr2Nd3Er2 crystal, from Alexandria.

Results
- Calculated formation energy: 0.015 eV per atom
- E: -4.6972 eV/atom
- Volume: 34.1 A^3/atom

Geometry as CIF:
```
data_Pr2Nd3Er2
_chemical_formula_sum 'Pr2 Nd3 Er2'
_space_group_name_H-M_alt 'P 1'
_space_group_IT_number 1
_space_group_name_Hall 'P 1'
_cell_length_a 3.652
_cell_length_b 12.068
_cell_length_c 6.287
_cell_angle_alpha 69.75
_cell_angle_beta 73.09
_cell_angle_gamma 98.66
loop_
_atom_site_label
_atom_site_type_symbol
_atom_site_fract_x
_atom_site_fract_y
_atom_site_fract_z
Pr1 Pr 0.860 0.145 0.423
Pr2 Pr 0.140 0.855 0.577
Nd1 Nd 0.000 0.000 0.000
Nd2 Nd 0.573 0.430 0.286
Nd3 Nd 0.427 0.570 0.714
Er1 Er 0.717 0.287 0.854
Er2 Er 0.283 0.713 0.146
```



The following is a PBE calculation of a relaxed Rb2LaI6N crystal, from Alexandria.

Results
- Raw formation energy: -0.694 eV per atom
- E: -3.1429 eV/atom
- Volume: 47.7 A^3/atom

Geometry as CIF:
```
data_Rb2LaI6N
_chemical_formula_sum 'Rb2 La1 I6 N1'
_space_group_name_H-M_alt 'P 1'
_space_group_IT_number 1
_space_group_name_Hall 'P 1'
_cell_length_a 9.320
_cell_length_b 9.320
_cell_length_c 8.580
_cell_angle_alpha 57.10
_cell_angle_beta 57.10
_cell_angle_gamma 90.00
loop_
_atom_site_label
_atom_site_type_symbol
_atom_site_fract_x
_atom_site_fract_y
_atom_site_fract_z
I1 I 0.290 0.290 0.420
I2 I 0.710 0.710 0.580
I3 I 0.238 0.238 0.000
I4 I 0.762 0.762 0.000
I5 I 0.762 0.238 0.000
I6 I 0.238 0.762 0.000
N1 N 0.500 0.500 0.000
Rb1 Rb 0.750 0.250 0.500
Rb2 Rb 0.250 0.750 0.500
La1 La 0.000 0.000 0.000
```



The following is a PBE calculation of a relaxed Cd3InI9 crystal, from Alexandria.

Results
- Raw formation energy: -0.492 eV per atom
- E: -1.9866 eV/atom
- Volume: 46.7 A^3/atom

Geometry as CIF:
```
data_Cd3InI9
_chemical_formula_sum 'Cd6 In2 I18'
_space_group_name_H-M_alt 'P 1'
_space_group_IT_number 1
_space_group_name_Hall 'P 1'
_cell_length_a 10.473
_cell_length_b 11.497
_cell_length_c 12.511
_cell_angle_alpha 75.16
_cell_angle_beta 65.26
_cell_angle_gamma 62.91
loop_
_atom_site_label
_atom_site_type_symbol
_atom_site_fract_x
_atom_site_fract_y
_atom_site_fract_z
Cd1 Cd 0.811 0.572 0.680
Cd2 Cd 0.937 0.072 0.180
Cd3 Cd 0.997 0.936 0.828
Cd4 Cd 0.238 0.436 0.328
Cd5 Cd 0.575 0.244 0.729
Cd6 Cd 0.452 0.744 0.229
In1 In 0.019 0.507 0.009
In2 In 0.465 0.007 0.509
I1 I 0.328 0.165 0.327
I2 I 0.181 0.665 0.827
I3 I 0.342 0.284 0.953
I4 I 0.421 0.784 0.453
I5 I 0.168 0.095 0.698
I6 I 0.039 0.595 0.198
I7 I 0.729 0.751 0.046
I8 I 0.474 0.251 0.546
I9 I 0.791 0.918 0.373
I10 I 0.918 0.418 0.873
I11 I 0.546 0.807 0.715
I12 I 0.932 0.307 0.215
I13 I 0.507 0.484 0.201
I14 I 0.807 0.984 0.701
I15 I 0.751 0.399 0.598
I16 I 0.252 0.899 0.098
I17 I 0.795 0.095 0.021
I18 I 0.089 0.595 0.521
```



The following is a PBE calculation of a relaxed CsK2CdGa crystal, from Alexandria.

Results
- Calculated formation energy: 0.051 eV per atom
- E: -1.3474 eV/atom
- Volume: 50.0 A^3/atom

Geometry as CIF:
```
data_CsK2CdGa
_chemical_formula_sum 'Cs1 K2 Cd1 Ga1'
_space_group_name_H-M_alt 'P 1'
_space_group_IT_number 1
_space_group_name_Hall 'P 1'
_cell_length_a 6.754
_cell_length_b 6.754
_cell_length_c 5.483
_cell_angle_alpha 90.00
_cell_angle_beta 90.00
_cell_angle_gamma 90.00
loop_
_atom_site_label
_atom_site_type_symbol
_atom_site_fract_x
_atom_site_fract_y
_atom_site_fract_z
Cs1 Cs 0.500 0.500 0.500
K1 K 0.000 0.500 0.000
K2 K 0.500 0.000 0.000
Ga1 Ga 0.000 0.000 0.000
Cd1 Cd 0.000 0.000 0.500
```



The following is a PBE calculation of a relaxed LaGeO2 crystal, from Alexandria.

Results
- Raw formation energy: -1.713 eV per atom
- E: -6.5778 eV/atom
- Volume: 19.9 A^3/atom

Geometry as CIF:
```
data_LaGeO2
_chemical_formula_sum 'La2 Ge2 O4'
_space_group_name_H-M_alt 'P 1'
_space_group_IT_number 1
_space_group_name_Hall 'P 1'
_cell_length_a 5.091
_cell_length_b 5.091
_cell_length_c 7.108
_cell_angle_alpha 69.02
_cell_angle_beta 69.02
_cell_angle_gamma 90.00
loop_
_atom_site_label
_atom_site_type_symbol
_atom_site_fract_x
_atom_site_fract_y
_atom_site_fract_z
Ge1 Ge 0.500 0.500 0.000
Ge2 Ge 0.250 0.750 0.500
O1 O 0.635 0.125 0.250
O2 O 0.115 0.625 0.250
O3 O 0.375 0.365 0.750
O4 O 0.875 0.885 0.750
La1 La 0.000 0.000 0.000
La2 La 0.750 0.250 0.500
```